<A>
The following is a PBE calculation of ZnCdOs2 after structural relaxation, from Alexandria.

Cell and atoms, written as extended XYZ:
```
4
Lattice="-1.915 0.509 1.872 -0.217 -2.670 0.503 5.973 0.633 5.936" Properties=species:S:1:pos:R:3 pbc="T T T"
Cd 3.414 -0.606 5.640
Os 0.107 0.011 0.106
Os 2.879 0.305 2.862
Zn 0.427 -0.922 2.672
```

Computed properties:
SG = P4/mmm, No. 123

<B>
The following is a PBE calculation of ZnCdOs2 after structural relaxation, from Alexandria.

Cell and atoms, written as extended XYZ:
```
4
Lattice="2.865 0.000 0.000 0.000 4.635 0.000 0.000 0.000 4.715" Properties=species:S:1:pos:R:3 pbc="T T T"
Cd 0.000 2.317 2.358
Os 0.000 0.000 0.000
Os 1.433 2.317 0.000
Zn 1.433 0.000 2.358
```

Computed properties:
SG = Pmmm, No. 47

Stability order, top to bottom: <B>, <A>

<A>
The following is a PBE calculation of ZnCdOs2 after structural relaxation, from Alexandria.

Cell and atoms, written as extended XYZ:
```
4
Lattice="3.544 -2.474 -1.026 0.693 -3.861 2.086 -0.523 -3.831 -2.187" Properties=species:S:1:pos:R:3 pbc="T T T"
Zn 0.000 0.000 0.000
Os 0.929 -2.541 -0.282
Os 2.786 -7.624 -0.846
Cd 1.857 -5.083 -0.564
```

Computed properties:
SG = Fm-3m, No. 225

<B>
The following is a PBE calculation of ZnCdOs2 after structural relaxation, from Alexandria.

Cell and atoms, written as extended XYZ:
```
4
Lattice="-2.853 3.854 -1.707 -4.729 -1.211 -1.441 2.907 -0.862 4.088" Properties=species:S:1:pos:R:3 pbc="T T T"
Cd -1.868 2.157 0.403
Os 0.000 0.000 0.000
Os -3.791 1.322 -1.574
Zn -2.806 -0.376 0.536
```

Computed properties:
SG = I4/mmm, No. 139

Stability order, top to bottom: <B>, <A>

<A>
The following is a PBE calculation of ZnCdOs2 after structural relaxation, from Alexandria.

Cell and atoms, written as extended XYZ:
```
4
Lattice="-3.601 -0.963 2.392 -0.589 -3.692 -2.373 1.795 -1.608 2.056" Properties=species:S:1:pos:R:3 pbc="T T T"
Cd 0.603 -2.650 -0.159
Os 0.000 0.000 0.000
Os -2.095 -2.328 0.009
Zn -0.903 -1.285 2.224
```

Computed properties:
SG = P4/mmm, No. 123

<B>
The following is a PBE calculation of ZnCdOs2 after structural relaxation, from Alexandria.

Cell and atoms, written as extended XYZ:
```
4
Lattice="-1.738 -1.924 1.109 2.697 -2.373 0.111 1.509 1.987 5.814" Properties=species:S:1:pos:R:3 pbc="T T T"
Cd 1.605 -0.666 4.946
Os 0.062 0.081 0.238
Os 0.839 -1.675 1.994
Zn 0.717 0.944 2.762
```

Computed properties:
SG = Pmm2, No. 25

Stability order, top to bottom: <B>, <A>

<A>
The following is a PBE calculation of Cd5P after structural relaxation, from Alexandria.

Cell and atoms, written as extended XYZ:
```
6
Lattice="2.600 -4.504 0.000 2.600 4.504 0.000 0.000 0.000 5.599" Properties=species:S:1:pos:R:3 pbc="T T T"
Cd 1.747 -3.026 0.000
Cd 1.706 0.000 0.000
Cd 1.747 3.026 0.000
Cd 2.600 -1.501 2.800
Cd 2.600 1.501 2.800
P 0.000 0.000 2.800
```

Computed properties:
SG = P-62m, No. 189

<B>
The following is a PBE calculation of Cd5P after structural relaxation, from Alexandria.

Cell and atoms, written as extended XYZ:
```
6
Lattice="2.800 -4.849 0.000 2.800 4.849 0.000 0.000 0.000 5.314" Properties=species:S:1:pos:R:3 pbc="T T T"
Cd 2.800 1.616 0.000
Cd 2.800 -1.616 0.000
Cd 1.400 -2.425 2.657
Cd 1.400 2.425 2.657
Cd 2.800 0.000 2.657
P 0.000 0.000 0.000
```

Computed properties:
SG = P6/mmm, No. 191

<C>
The following is a PBE calculation of Cd5P after structural relaxation, from Alexandria.

Cell and atoms, written as extended XYZ:
```
6
Lattice="1.455 6.730 -2.980 -3.135 -6.766 -0.826 -3.932 1.612 1.720" Properties=species:S:1:pos:R:3 pbc="T T T"
Cd 1.412 6.605 -2.960
Cd -1.652 -2.406 -1.522
Cd -0.101 2.156 -2.250
Cd -2.954 0.351 -0.973
Cd -1.446 4.788 -1.681
P -4.668 -4.686 -0.169
```

Computed properties:
SG = Amm2, No. 38

<D>
The following is a PBE calculation of Cd5P after structural relaxation, from Alexandria.

Cell and atoms, written as extended XYZ:
```
6
Lattice="1.439 6.263 -0.043 -1.439 6.263 -0.043 0.000 2.739 7.341" Properties=species:S:1:pos:R:3 pbc="T T T"
Cd 0.000 12.110 0.211
Cd 0.000 4.892 2.827
Cd 0.000 10.203 5.358
Cd 0.000 8.550 1.450
Cd 0.000 13.756 4.123
P 0.000 6.264 6.500
```

Computed properties:
SG = C2/m, No. 12

Stability order, top to bottom: <D>, <C>, <A>, <B>

<A>
The following is a PBE calculation of CdP4 after structural relaxation, from Alexandria.

Cell and atoms, written as extended XYZ:
```
10
Lattice="5.198 0.000 0.000 0.000 5.324 -0.012 0.000 1.240 7.604" Properties=species:S:1:pos:R:3 pbc="T T T"
Cd 0.000 0.000 0.000
Cd 2.599 0.620 3.802
P 3.703 4.239 1.909
P 1.104 1.706 1.882
P 1.495 2.326 5.684
P 4.094 4.859 5.711
P 0.528 3.944 4.559
P 3.127 3.241 6.835
P 4.670 2.621 3.033
P 2.071 3.324 0.757
```

Computed properties:
SG = P2_1/c, No. 14

<B>
The following is a PBE calculation of CdP4 after structural relaxation, from Alexandria.

Cell and atoms, written as extended XYZ:
```
5
Lattice="-2.966 -5.380 0.641 -6.127 -0.336 -0.709 4.921 2.297 -2.942" Properties=species:S:1:pos:R:3 pbc="T T T"
Cd 0.000 0.000 0.000
P -1.295 -2.971 -1.168
P -2.876 -0.449 -1.842
P -6.059 -3.809 -0.045
P -3.033 -1.907 -0.023
```

Computed properties:
SG = I4/mmm, No. 139

Stability order, top to bottom: <A>, <B>

<A>
The following is a PBE calculation of CdP4 after structural relaxation, from Alexandria.

Cell and atoms, written as extended XYZ:
```
5
Lattice="-1.749 -2.161 -4.027 -2.555 -3.113 2.780 -3.790 3.096 -0.016" Properties=species:S:1:pos:R:3 pbc="T T T"
P 0.000 0.000 0.000
P -2.769 0.468 -2.021
P -3.172 -0.008 1.382
P -2.152 -2.637 -0.624
Cd -4.047 -1.089 -0.631
```

Computed properties:
SG = Pm-3m, No. 221

<B>
The following is a PBE calculation of CdP4 after structural relaxation, from Alexandria.

Cell and atoms, written as extended XYZ:
```
5
Lattice="-2.979 2.979 2.979 2.979 -2.979 2.979 2.979 2.979 -2.979" Properties=species:S:1:pos:R:3 pbc="T T T"
Cd 0.000 0.000 0.000
P -1.489 1.489 1.489
P 1.489 1.489 1.489
P 1.489 -1.489 1.489
P 1.489 1.489 -1.489
```

Computed properties:
SG = Im-3m, No. 229

Stability order, top to bottom: <B>, <A>

<A>
The following is a PBE calculation of Cd5P3 after structural relaxation, from Alexandria.

Cell and atoms, written as extended XYZ:
```
8
Lattice="2.322 5.886 -2.557 -3.611 -3.918 -4.264 -3.511 1.913 1.215" Properties=species:S:1:pos:R:3 pbc="T T T"
Cd 0.000 0.000 0.000
Cd -1.805 -1.959 -2.132
Cd 1.161 2.943 -1.278
Cd -2.118 1.510 -1.311
Cd -2.681 2.371 -4.295
P -0.644 0.984 -3.411
P -0.454 5.155 -2.243
P -4.345 -1.275 -3.363
```

Computed properties:
SG = Cmmm, No. 65

<B>
The following is a PBE calculation of Cd5P3 after structural relaxation, from Alexandria.

Cell and atoms, written as extended XYZ:
```
16
Lattice="7.555 0.000 0.000 -3.777 6.543 0.000 0.000 0.000 7.486" Properties=species:S:1:pos:R:3 pbc="T T T"
P 4.699 0.000 1.872
P 2.856 0.000 5.615
P -2.350 4.070 1.872
P 1.428 2.473 1.872
P 2.350 4.070 5.615
P -1.428 2.473 5.615
Cd 0.000 4.362 0.000
Cd 3.777 2.181 3.743
Cd 3.777 2.181 0.000
Cd 0.000 4.362 3.743
Cd 1.971 0.000 1.872
Cd 5.584 0.000 5.615
Cd -0.986 1.707 1.872
Cd 2.792 4.836 1.872
Cd 0.986 1.707 5.615
Cd -2.792 4.836 5.615
```

Computed properties:
SG = P6_3/mcm, No. 193

Stability order, top to bottom: <B>, <A>

<A>
The following is a PBE calculation of CdPPb2 after structural relaxation, from Alexandria.

Cell and atoms, written as extended XYZ:
```
4
Lattice="6.152 0.017 0.000 2.958 5.394 0.000 -4.555 -2.706 3.127" Properties=species:S:1:pos:R:3 pbc="T T T"
Cd 4.555 2.706 0.000
P 3.076 0.008 1.564
Pb 0.000 0.000 0.000
Pb 1.479 2.697 1.564
```

Computed properties:
SG = I-4m2, No. 119

<B>
The following is a PBE calculation of CdPPb2 after structural relaxation, from Alexandria.

Cell and atoms, written as extended XYZ:
```
4
Lattice="7.624 1.252 -0.260 4.895 5.978 0.260 -6.033 -4.008 2.704" Properties=species:S:1:pos:R:3 pbc="T T T"
Cd 3.926 0.430 1.222
P 2.561 2.793 1.482
Pb 0.969 0.559 0.000
Pb 5.291 3.056 0.000
```

Computed properties:
SG = Immm, No. 71

<C>
The following is a PBE calculation of CdPPb2 after structural relaxation, from Alexandria.

Cell and atoms, written as extended XYZ:
```
4
Lattice="4.010 -0.030 0.015 2.002 3.475 0.015 2.002 1.147 8.013" Properties=species:S:1:pos:R:3 pbc="T T T"
Cd 6.011 3.444 6.033
P 2.004 1.148 2.011
Pb 6.010 3.444 0.347
Pb 4.009 2.297 3.705
```

Computed properties:
SG = C2/m, No. 12

<D>
The following is a PBE calculation of CdPPb2 after structural relaxation, from Alexandria.

Cell and atoms, written as extended XYZ:
```
4
Lattice="-1.158 -3.185 2.073 4.375 -0.249 2.061 0.411 3.219 5.176" Properties=species:S:1:pos:R:3 pbc="T T T"
Cd 3.036 1.403 3.851
P 2.445 0.840 6.462
Pb 4.615 2.719 6.756
Pb 0.712 -0.722 3.094
```

Computed properties:
SG = Pm, No. 6

Stability order, top to bottom: <D>, <C>, <B>, <A>

<A>
The following is a PBE calculation of CdPPb2 after structural relaxation, from Alexandria.

Cell and atoms, written as extended XYZ:
```
4
Lattice="5.458 0.046 0.000 0.878 5.387 0.000 -3.168 -2.717 3.518" Properties=species:S:1:pos:R:3 pbc="T T T"
Cd 0.439 2.693 1.759
P 2.729 0.023 1.759
Pb 0.000 0.000 0.000
Pb 3.168 2.717 0.000
```

Computed properties:
SG = I4/mmm, No. 139

<B>
The following is a PBE calculation of CdPPb2 after structural relaxation, from Alexandria.

Cell and atoms, written as extended XYZ:
```
4
Lattice="-1.586 -3.710 0.294 1.027 -0.825 -4.869 4.525 -1.834 1.265" Properties=species:S:1:pos:R:3 pbc="T T T"
Cd -0.280 -2.268 -2.287
P 1.469 -2.772 0.780
Pb 0.000 0.000 0.000
Pb 2.776 -1.330 -1.802
```

Computed properties:
SG = P4/mmm, No. 123

Stability order, top to bottom: <B>, <A>

<A>
The following is a PBE calculation of CdPPb2 after structural relaxation, from Alexandria.

Cell and atoms, written as extended XYZ:
```
8
Lattice="6.806 0.000 0.000 0.000 6.806 0.000 3.403 3.403 6.010" Properties=species:S:1:pos:R:3 pbc="T T T"
Pb 4.908 1.701 1.503
Pb 1.898 5.104 1.503
Pb 5.104 5.301 4.508
Pb 8.507 8.310 4.508
P 3.403 3.403 0.000
P 3.403 6.806 3.005
Cd 0.000 0.000 0.000
Cd 6.806 3.403 3.005
```

Computed properties:
SG = I-42d, No. 122

<B>
The following is a PBE calculation of CdPPb2 after structural relaxation, from Alexandria.

Cell and atoms, written as extended XYZ:
```
4
Lattice="-2.796 -1.502 -1.767 2.295 -1.395 -2.446 3.130 -8.104 1.935" Properties=species:S:1:pos:R:3 pbc="T T T"
Cd -0.042 -3.126 -1.011
P 2.671 -7.875 -1.267
Pb 3.091 -7.804 1.742
Pb 2.751 -5.049 -0.062
```

Computed properties:
SG = P2/m, No. 10

<C>
The following is a PBE calculation of CdPPb2 after structural relaxation, from Alexandria.

Cell and atoms, written as extended XYZ:
```
4
Lattice="0.000 3.728 3.728 3.728 0.000 3.728 3.728 3.728 0.000" Properties=species:S:1:pos:R:3 pbc="T T T"
Pb 1.864 1.864 1.864
Pb 5.591 5.591 5.591
P 0.000 0.000 0.000
Cd 3.728 3.728 3.728
```

Computed properties:
SG = Fm-3m, No. 225

<D>
The following is a PBE calculation of CdPPb2 after structural relaxation, from Alexandria.

Cell and atoms, written as extended XYZ:
```
4
Lattice="5.269 0.000 0.000 2.634 4.563 0.000 2.634 1.521 4.302" Properties=species:S:1:pos:R:3 pbc="T T T"
Cd 5.269 3.042 2.151
P 7.903 4.563 3.226
Pb 0.000 0.000 0.000
Pb 2.634 1.521 1.075
```

Computed properties:
SG = F-43m, No. 216

Stability order, top to bottom: <B>, <A>, <C>, <D>